(1)
Here is an optimized crystal structure of LiHg3Te from Alexandria via LeMat-Bulk. Energies are from GGA-PBE.

Cell lengths 5.8561, 5.8561, 5.8561 Å; angles 90.00, 90.00, 90.00 degrees
Element x y z (fractional)
Te 0.0000 0.0000 0.0000
Hg 0.0000 0.5000 0.0000
Hg 0.0000 0.0000 0.5000
Hg 0.5000 0.0000 0.0000
Li 0.5000 0.5000 0.5000

Values from the calculation:
The value obtained for the uncorrected formation energy is 259 meV per atom. As for the space-group type: Pm-3m. The total energy comes out at -0.93 eV/atom.

(2)
Here is an optimized crystal structure of V2NiHOs from Alexandria via LeMat-Bulk. Energies are from GGA-PBE.

Cell lengths 3.7912, 3.7912, 3.7618 Å; angles 90.00, 90.00, 90.00 degrees
Element x y z (fractional)
Ni 0.5000 0.5000 0.5000
Os 0.0000 0.0000 0.5000
H 0.0000 0.0000 0.0000
V 0.0000 0.5000 0.0000
V 0.5000 0.0000 0.0000

Values from the calculation:
As for the space-group type: P4/mmm. The total energy comes out at -7.84 eV/atom.

(3)
Here is an optimized crystal structure of ScCuHg from Alexandria via LeMat-Bulk. Energies are from GGA-PBE.

Cell lengths 3.4155, 3.4155, 6.0660 Å; angles 90.00, 90.00, 120.00 degrees
Element x y z (fractional)
Cu 0.0000 0.0000 0.9935
Hg 0.6667 0.3333 0.3140
Sc 0.3333 0.6667 0.6925

Values from the calculation:
The calculation puts the formation energy at -0.030 eV per atom. As for the space-group type: P3m1. The total energy comes out at -3.61 eV/atom.

(4)
Here is an optimized crystal structure of AcInSn2Pd2 from Alexandria via LeMat-Bulk. Energies are from GGA-PBE.

Cell lengths 5.2921, 5.2921, 6.9444 Å; angles 112.40, 112.40, 90.00 degrees
Element x y z (fractional)
Ac 0.5000 0.5000 0.0000
In 0.0000 0.0000 0.0000
Sn 0.2500 0.7500 0.5000
Sn 0.7500 0.2500 0.5000
Pd 0.7791 0.7791 0.5583
Pd 0.2209 0.2209 0.4417

Values from the calculation:
The calculation puts the formation energy at -0.376 eV per atom. As for the space-group type: I4/mmm. The total energy comes out at -4.58 eV/atom.

(5)
Here is an optimized crystal structure of EuLuAu from Alexandria via LeMat-Bulk. Energies are from GGA-PBE.

Cell lengths 4.1185, 4.9158, 4.9158 Å; angles 120.00, 90.00, 90.00 degrees
Element x y z (fractional)
Eu 0.6753 0.6667 0.3333
Lu 0.1789 0.3333 0.6667
Au 0.1458 0.0000 0.0000

Values from the calculation:
The calculation puts the formation energy at -0.408 eV per atom. As for the space-group type: P3m1. The total energy comes out at -6.43 eV/atom.

(6)
Here is an optimized crystal structure of FeRuAu from Alexandria via LeMat-Bulk. Energies are from GGA-PBE.

Cell lengths 6.0412, 6.0412, 6.0412 Å; angles 153.53, 153.53, 37.78 degrees
Element x y z (fractional)
Au 0.9947 0.9947 0.0000
Fe 0.3210 0.3210 0.0000
Ru 0.6842 0.6842 0.0000

Values from the calculation:
The calculation puts the formation energy at 0.245 eV per atom. As for the space-group type: I4mm. The total energy comes out at -6.76 eV/atom.